Below is an optimized crystal structure of Nd3Tl2Rh3, with properties calculated at the PBE level.

The structure in extended XYZ format:
```
8
Lattice="-0.940 -1.068 3.227 4.626 -1.926 0.710 1.380 10.710 2.018" Properties=species:S:1:pos:R:3 pbc="T T T"
Nd 2.614 0.708 2.922
Nd 2.452 7.009 3.033
Nd -0.470 -0.534 1.614
Tl 0.982 3.617 3.410
Tl 4.084 4.100 2.545
Rh 0.729 2.084 0.902
Rh 2.313 -0.963 0.355
Rh 4.337 5.633 5.053
```

Results
The calculated formation energy is -3.5 eV/f.u. The space-group type is Immm. As for the magnetization: 0.000 μB per atom. The value obtained for the volume is 188.2 Å³/cell. The calculation puts the density of states at the Fermi level at 5.35 states/eV/f.u. As for the total energy: -5.572 eV per atom.


Below is an optimized crystal structure of EuUCo2, with properties calculated at the PBE level.

The structure in extended XYZ format:
```
4
Lattice="-1.323 2.061 2.180 -2.404 0.698 -2.118 -3.865 -5.280 2.647" Properties=species:S:1:pos:R:3 pbc="T T T"
Eu -3.796 -1.261 1.354
Co -3.161 -4.318 2.164
Co -0.704 -0.962 0.482
U -1.863 1.379 0.031
```

Results
The value obtained for the excess energy over the best structure of this formula in the dataset is 0 meV/atom. The calculated formation energy is -0.1 eV/f.u. The space-group type is P4/mmm. As for the magnetization: 1.743 μB per atom. The value obtained for the volume is 75.9 Å³/cell. The calculation puts the density of states at the Fermi level at 5.78 states/eV/f.u. As for the total energy: -8.959 eV per atom.


Below is an optimized crystal structure of Sm8IrPd2, with properties calculated at the PBE level.

The structure in extended XYZ format:
```
11
Lattice="6.194 -0.015 -1.091 -2.099 6.851 -2.984 -0.224 -0.233 7.755" Properties=species:S:1:pos:R:3 pbc="T T T"
Sm 2.898 2.346 -0.990
Sm 3.382 0.518 1.782
Sm 0.211 2.361 1.521
Sm 5.496 1.168 4.537
Sm 4.369 5.422 -1.912
Sm 3.504 4.279 2.210
Sm 0.160 6.113 1.980
Sm 0.642 4.290 4.742
Ir 1.113 0.042 -0.167
Pd 1.495 4.675 -0.136
Pd 2.200 2.012 3.902
```

Results
The value obtained for the excess energy over the best structure of this formula in the dataset is 89 meV/atom. The calculated formation energy is -3.8 eV/f.u. The space-group type is Cm. As for the magnetization: 0.000 μB per atom. The value obtained for the volume is 322.3 Å³/cell. The calculation puts the density of states at the Fermi level at 12.85 states/eV/f.u. As for the total energy: -5.528 eV per atom.


Below is an optimized crystal structure of SrLiB2Pd, with properties calculated at the PBE level.

The structure in extended XYZ format:
```
5
Lattice="4.661 0.000 0.000 0.000 4.840 0.000 0.000 0.000 4.661" Properties=species:S:1:pos:R:3 pbc="T T T"
Sr 0.000 0.000 0.000
B 0.000 0.000 2.331
B 2.331 0.000 0.000
Pd 2.331 2.420 2.331
Li 0.000 2.420 0.000
```

Results
The calculated formation energy is 11.0 eV/f.u. The space-group type is P4/mmm. As for the magnetization: 0.000 μB per atom. The value obtained for the volume is 105.2 Å³/cell. The calculation puts the density of states at the Fermi level at 4.09 states/eV/f.u. As for the total energy: -2.227 eV per atom.


Below is an optimized crystal structure of KCrSb2, with properties calculated at the PBE level.

The structure in extended XYZ format:
```
4
Lattice="4.226 -0.045 0.040 1.623 3.902 0.040 1.492 0.984 7.400" Properties=species:S:1:pos:R:3 pbc="T T T"
Cr 3.497 2.306 5.546
K 2.018 1.331 1.929
Sb 7.178 4.734 6.765
Sb 5.659 3.732 4.461
```

Results
The formation energy without anion corrections comes out at -0.2 eV/f.u. The value obtained for the excess energy over the best structure of this formula in the dataset is 20 meV/atom. The space-group type is Cm. As for the magnetization: 0.797 μB per atom. The value obtained for the volume is 122.2 Å³/cell. The calculation puts the density of states at the Fermi level at 1.48 states/eV/f.u. As for the total energy: -4.799 eV per atom.


Below is an optimized crystal structure of Sb6W7, with properties calculated at the PBE level.

The structure in extended XYZ format:
```
13
Lattice="10.187 0.021 0.013 8.642 5.395 0.013 8.642 2.486 4.788" Properties=species:S:1:pos:R:3 pbc="T T T"
Sb 1.533 0.441 0.269
Sb 25.938 7.460 4.545
Sb 4.762 1.370 0.834
Sb 22.710 6.532 3.979
Sb 9.135 2.628 1.601
Sb 18.336 5.274 3.213
W 10.884 4.554 2.774
W 11.640 1.925 2.774
W 11.640 3.348 0.438
W 16.588 3.348 2.040
W 15.832 4.554 4.376
W 15.832 5.977 2.040
W 13.736 3.951 2.407
```

Results
The formation energy without anion corrections comes out at 7.6 eV/f.u. The space-group type is R-3m. As for the magnetization: 0.000 μB per atom. The value obtained for the volume is 261.6 Å³/cell. The calculation puts the density of states at the Fermi level at 9.63 states/eV/f.u. As for the total energy: -8.293 eV per atom.


Below is an optimized crystal structure of I3Br, with properties calculated at the PBE level.

The structure in extended XYZ format:
```
4
Lattice="-3.698 -0.195 -2.430 2.470 -0.281 -3.736 0.023 -9.825 0.754" Properties=species:S:1:pos:R:3 pbc="T T T"
I -1.016 -0.192 -2.475
I -1.023 -5.102 -2.070
I 2.060 -5.146 -2.723
Br 2.067 -0.235 -3.127
```

Results
The formation energy without anion corrections comes out at 0.6 eV/f.u. The value obtained for the excess energy over the best structure of this formula in the dataset is 18 meV/atom. The space-group type is Pmm2. As for the magnetization: 0.000 μB per atom. The value obtained for the volume is 195.9 Å³/cell. The calculation puts the density of states at the Fermi level at 1.53 states/eV/f.u. As for the total energy: -1.427 eV per atom.


Below is an optimized crystal structure of Tm8Os3, with properties calculated at the PBE level.

The structure in extended XYZ format:
```
11
Lattice="6.667 -0.387 0.419 0.369 6.668 0.419 -0.434 -0.387 6.666" Properties=species:S:1:pos:R:3 pbc="T T T"
Tm 4.734 1.125 5.383
Tm 5.128 4.576 2.325
Tm 1.653 4.578 5.381
Tm 4.913 4.386 5.585
Tm 1.688 1.507 1.919
Tm 4.949 1.315 2.123
Tm 1.474 1.317 5.179
Tm 1.868 4.768 2.122
Os -0.033 3.140 3.543
Os 3.116 -0.387 3.543
Os 3.518 3.140 0.419
```

Results
The calculated formation energy is -1.6 eV/f.u. The space-group type is R-3m. As for the magnetization: 0.000 μB per atom. The value obtained for the volume is 299.6 Å³/cell. The calculation puts the density of states at the Fermi level at 8.90 states/eV/f.u. As for the total energy: -6.459 eV per atom.


density of states at the Fermi level of number 6 (Sb6W7)?
9.63 states/eV/f.u.


Look up the magnetization of the fifth one.
0.797 μB per atom